Cs2BaBiI6: relaxed, PBE.

**ΔE_f (raw)**: -1142 meV per atom
**Space group**: I4/mmm
**Calculated total energy**: -28.2 eV/cell

Structure (POSCAR):
```
Cs2BaBiI6
1.0
9.1315 0.0000 0.0000
0.0000 9.1315 0.0000
4.5658 4.5658 7.0921
Cs I Ba Bi
2 6 1 1
direct
0.7500 0.2500 0.5000 Cs
0.2500 0.7500 0.5000 Cs
0.2377 0.2377 0.0000 I
0.2377 0.7623 0.0000 I
0.7623 0.7623 0.0000 I
0.7382 0.7382 0.5236 I
0.7623 0.2377 0.0000 I
0.2618 0.2618 0.4764 I
0.5000 0.5000 0.0000 Ba
0.0000 0.0000 0.0000 Bi
```